Entry 1:
Material: Ca2CdSeF
Method: DFT, GGA-PBE
State: optimized geometry

Lattice parameters (Å, degrees): 5.6114 4.6412 5.6114 90.00 90.00 90.00
Closest atoms and distances in Å follow each position.
Sites, in units of the cell vectors:
F  0.0000  0.5000  0.0000  2 Se 2.32
Ca  0.0000  0.0000  0.5000  2 Se 2.81
Ca  0.5000  0.0000  0.0000  2 Se 2.81
Cd  0.5000  0.5000  0.5000  8 Ca 3.64, 4 F 3.97
Se  0.0000  0.0000  0.0000  2 F 2.32

## Properties
* magnetic moment: 0.000 μB/atom
* formation energy from raw total energies: -20.99 kcal/mol of atoms
* DOS at the Fermi energy: 1.88 states/eV per cell
* symmetry: P4/mmm

Entry 2:
Material: ZrMo4
Method: DFT, GGA-PBE
State: optimized geometry

Lattice parameters (Å, degrees): 5.1080 5.1080 5.1080 109.47 109.47 109.47
Closest atoms and distances in Å follow each position.
Sites, in units of the cell vectors:
Mo  0.0000  0.0000  0.5000  2 Zr 2.55
Mo  0.5000  0.0000  0.0000  2 Zr 2.55
Mo  0.0000  0.5000  0.0000  2 Zr 2.55
Mo  0.5000  0.5000  0.5000  2 Zr 2.55
Zr  0.0000  0.0000  0.0000  8 Mo 2.55

## Properties
* ΔH_f (0 K): 1.80 eV/atom
* magnetic moment: 0.000 μB/atom
* DOS at the Fermi energy: 6.97 states/eV per cell
* symmetry: Im-3m

Entry 3:
Material: Rb2IrRuF6
Method: DFT, GGA-PBE
State: optimized geometry

Lattice parameters (Å, degrees): 6.0771 6.0771 6.2028 60.67 60.67 90.00
Closest atoms and distances in Å follow each position.
Sites, in units of the cell vectors:
F  0.2529  0.2529  0.0000  1 Ru 2.12, 1 Ir 2.17
F  0.2529  0.7471  0.0000  1 Ru 2.12, 1 Ir 2.17
F  0.7471  0.7471  0.0000  1 Ru 2.12, 1 Ir 2.17
F  0.7471  0.2529  0.0000  1 Ru 2.12, 1 Ir 2.17
F  0.7340  0.7340  0.5320  1 Ru 2.09
F  0.2660  0.2660  0.4680  1 Ru 2.09
Ir  0.0000  0.0000  0.0000  6 F 2.17-2.38
Rb  0.7500  0.2500  0.5000  12 F 3.04-3.10
Rb  0.2500  0.7500  0.5000  12 F 3.04-3.10
Ru  0.5000  0.5000  0.0000  6 F 2.09-2.12

## Properties
* magnetic moment: 0.280 μB/atom
* formation energy from raw total energies: -35.75 kcal/mol of atoms
* DOS at the Fermi energy: 7.34 states/eV per cell
* symmetry: I4/mmm

Entry 4:
Material: CaRe2Rh
Method: DFT, GGA-PBE
State: optimized geometry

Lattice parameters (Å, degrees): 5.3613 5.3613 2.7231 90.00 90.00 121.61
Closest atoms and distances in Å follow each position.
Sites, in units of the cell vectors:
Re  0.0000  0.0000  0.0000  4 Re 2.62-2.72
Re  0.5000  0.5000  0.0000  4 Re 2.62-2.72
Rh  0.5000  0.0000  0.5000  2 Ca 2.62, 2 Rh 2.72
Ca  0.0000  0.5000  0.5000  2 Rh 2.62, 2 Ca 2.72

## Properties
* ΔH_f (0 K): 0.54 eV/atom
* magnetic moment: 0.000 μB/atom
* DOS at the Fermi energy: 4.59 states/eV per cell
* symmetry: Cmmm

Entry 5:
Material: Er2Ga3NiPt4
Method: DFT, GGA-PBE
State: optimized geometry

Lattice parameters (Å, degrees): 4.0266 4.0266 11.1550 90.00 90.00 90.00
Closest atoms and distances in Å follow each position.
Sites, in units of the cell vectors:
Pt  0.0000  0.0000  0.0000  4 Ga 2.52
Pt  0.5000  0.5000  0.0000  4 Ga 2.52
Pt  0.5000  0.0000  0.6438  3 Ga 2.45-2.57, 2 Ni 2.57
Pt  0.0000  0.5000  0.3562  3 Ga 2.45-2.57, 2 Ni 2.57
Ga  0.0000  0.0000  0.5000  4 Pt 2.57, 4 Ni 2.85
Ga  0.5000  0.0000  0.8635  5 Pt 2.45-2.52
Ga  0.0000  0.5000  0.1365  5 Pt 2.45-2.52
Er  0.5000  0.0000  0.2644  4 Pt 3.03, 6 Ga 3.18-3.31, 2 Ni 3.31
Er  0.0000  0.5000  0.7356  4 Pt 3.03, 6 Ga 3.18-3.31, 2 Ni 3.31
Ni  0.5000  0.5000  0.5000  4 Pt 2.57, 4 Ga 2.85

## Properties
* ΔH_f (0 K): -0.87 eV/atom
* magnetic moment: 0.000 μB/atom
* DOS at the Fermi energy: 4.73 states/eV per cell
* symmetry: P-4m2

Entry 6:
Material: ZnHgBr2
Method: DFT, GGA-PBE
State: optimized geometry

Lattice parameters (Å, degrees): 3.7805 3.7805 10.4586 79.71 79.71 59.96
Closest atoms and distances in Å follow each position.
Sites, in units of the cell vectors:
Br  0.9645  0.9645  0.1043  3 Zn 2.64-2.65
Br  0.5355  0.5355  0.3957  3 Zn 2.64-2.65
Hg  0.7500  0.7500  0.7500  6 Hg 3.78, 2 Br 4.22
Zn  0.2500  0.2500  0.2500  6 Br 2.64-2.65

## Properties
* magnetic moment: 0.000 μB/atom
* formation energy from raw total energies: -13.31 kcal/mol of atoms
* DOS at the Fermi energy: 0.00 states/eV per cell
* symmetry: C2/m

Entry 7:
Material: Ac2ThSe6
Method: DFT, GGA-PBE
State: optimized geometry

Lattice parameters (Å, degrees): 4.3899 8.1033 8.1052 119.99 90.00 90.00
Closest atoms and distances in Å follow each position.
Sites, in units of the cell vectors:
Ac  0.0000  0.6667  0.3335  9 Se 3.11-3.31
Ac  0.0000  0.3332  0.6665  9 Se 3.11-3.31
Se  0.5000  0.6019  0.0000  1 Th 3.23, 4 Ac 3.31, 4 Se 3.57
Se  0.5000  0.3981  0.3984  1 Th 3.23, 4 Ac 3.31, 4 Se 3.57-3.58
Se  0.0000  0.2470  0.0000  2 Th 2.97, 2 Ac 3.11
Se  0.0000  0.7533  0.7534  2 Th 2.97, 2 Ac 3.11
Se  0.5000  0.9998  0.6016  1 Th 3.23, 4 Ac 3.31, 4 Se 3.57-3.58
Se  0.0000  0.9999  0.2466  2 Th 2.97, 2 Ac 3.11
Th  0.5000  0.0002  0.0000  9 Se 2.97-3.23

## Properties
* magnetic moment: 0.000 μB/atom
* formation energy from raw total energies: -38.16 kcal/mol of atoms
* DOS at the Fermi energy: 4.91 states/eV per cell
* symmetry: P-62m

Entry 8:
Material: KGa3Ge3
Method: DFT, GGA-PBE
State: optimized geometry

Lattice parameters (Å, degrees): 7.4272 7.4272 9.1255 65.99 65.99 60.00
Closest atoms and distances in Å follow each position.
Sites, in units of the cell vectors:
Ge  0.5677  0.8979  0.3045  4 Ga 2.50-2.75
Ge  0.1021  0.7702  0.6955  4 Ga 2.50-2.75
Ge  0.7702  0.4323  0.6955  4 Ga 2.50-2.75
Ge  0.4323  0.1021  0.6955  4 Ga 2.50-2.75
Ge  0.2298  0.5677  0.3045  4 Ga 2.50-2.75
Ge  0.8979  0.2298  0.3045  4 Ga 2.50-2.75
Ga  0.2151  0.8829  0.3540  4 Ge 2.50-2.75
Ga  0.1171  0.4520  0.6460  4 Ge 2.50-2.75
Ga  0.5480  0.2151  0.3540  4 Ge 2.50-2.75
Ga  0.4520  0.7849  0.6460  4 Ge 2.50-2.75
Ga  0.7849  0.1171  0.6460  4 Ge 2.50-2.75
Ga  0.8829  0.5480  0.3540  4 Ge 2.50-2.75
K  0.3334  0.3334  0.9998  6 Ge 3.49, 6 Ga 3.77-3.78
K  0.6666  0.6666  0.0002  6 Ge 3.49, 6 Ga 3.77-3.78

## Properties
* ΔH_f (0 K): 0.04 eV/atom
* magnetic moment: 0.000 μB/atom
* DOS at the Fermi energy: 7.73 states/eV per cell
* symmetry: R-3

Entry 9:
Material: Li6AlIn2
Method: DFT, GGA-PBE
State: optimized geometry

Lattice parameters (Å, degrees): 4.4987 8.4512 8.4437 90.00 90.00 90.00
Closest atoms and distances in Å follow each position.
Sites, in units of the cell vectors:
Li  0.5000  0.4721  0.3256  1 Al 2.76, 4 Li 2.79-2.98, 3 In 2.83-2.86
Li  0.9999  0.3304  0.4604  6 Li 2.78-2.94, 1 Al 2.81, 3 In 2.89-3.09
Li  0.5001  0.8304  0.0396  6 Li 2.78-2.94, 1 Al 2.81, 3 In 2.89-3.09
Li  0.0001  0.6935  0.8684  6 Li 2.78-3.11, 4 In 2.83-3.02, 2 Al 2.99
Li  0.5000  0.5279  0.6744  1 Al 2.76, 4 Li 2.79-2.98, 3 In 2.83-2.86
Li  0.0000  0.9721  0.1744  1 Al 2.76, 4 Li 2.79-2.98, 3 In 2.83-2.86
Li  0.9999  0.3065  0.1316  6 Li 2.78-3.11, 4 In 2.83-3.02, 2 Al 2.99
Li  0.4999  0.1935  0.6316  6 Li 2.78-3.11, 4 In 2.83-3.02, 2 Al 2.99
Li  0.5001  0.8065  0.3684  6 Li 2.78-3.11, 4 In 2.83-3.02, 2 Al 2.99
Li  0.0001  0.6696  0.5396  6 Li 2.78-2.94, 1 Al 2.81, 3 In 2.89-3.09
Li  0.0000  0.0279  0.8256  1 Al 2.76, 4 Li 2.79-2.98, 3 In 2.83-2.86
Li  0.4999  0.1696  0.9604  6 Li 2.78-2.94, 1 Al 2.81, 3 In 2.89-3.09
In  0.0000  0.6378  0.1988  10 Li 2.83-3.09, 2 Al 3.04
In  0.5000  0.1378  0.3012  10 Li 2.83-3.09, 2 Al 3.04
In  0.0000  0.3622  0.8012  10 Li 2.83-3.09, 2 Al 3.04
In  0.5000  0.8622  0.6988  10 Li 2.83-3.09, 2 Al 3.04
Al  0.0000  0.0000  0.5000  8 Li 2.76-2.99, 4 In 3.04
Al  0.5000  0.5000  0.0000  8 Li 2.76-2.99, 4 In 3.04

## Properties
* ΔH_f (0 K): -0.20 eV/atom
* magnetic moment: 0.000 μB/atom
* DOS at the Fermi energy: 4.64 states/eV per cell
* symmetry: Pnnm

Entry 10:
Material: KFeRe2
Method: DFT, GGA-PBE
State: optimized geometry

Lattice parameters (Å, degrees): 4.8892 4.8892 9.0711 74.37 74.37 90.00
Closest atoms and distances in Å follow each position.
Sites, in units of the cell vectors:
K  0.2500  0.7500  0.5000  8 Re 3.43-3.46, 4 Fe 3.46
K  0.5000  0.5000  0.0000  8 Re 3.43-3.46, 4 Fe 3.46
Re  0.8750  0.1215  0.7500  2 Fe 2.43, 2 Re 2.44
Re  0.8715  0.1250  0.2500  2 Fe 2.43, 2 Re 2.44
Re  0.8785  0.6250  0.2500  2 Fe 2.43, 2 Re 2.44
Re  0.3750  0.1285  0.7500  2 Fe 2.43, 2 Re 2.44
Fe  0.7500  0.2500  0.5000  4 Re 2.43
Fe  0.0000  0.0000  0.0000  4 Re 2.43

## Properties
* ΔH_f (0 K): 1.76 eV/atom
* magnetic moment: 0.417 μB/atom
* DOS at the Fermi energy: 10.62 states/eV per cell
* symmetry: I-42d

Entry 11:
Material: ZrOs
Method: DFT, GGA-PBE
State: optimized geometry

Lattice parameters (Å, degrees): 5.4006 5.4006 5.4203 90.00 90.00 90.00
Closest atoms and distances in Å follow each position.
Sites, in units of the cell vectors:
Os  0.1968  0.1968  0.0000  6 Zr 2.69-2.81, 1 Os 3.01
Os  0.8032  0.8032  0.0000  6 Zr 2.69-2.81, 1 Os 3.01
Os  0.6968  0.3031  0.5000  6 Zr 2.69-2.81, 1 Os 3.01
Os  0.3031  0.6968  0.5000  6 Zr 2.69-2.81, 1 Os 3.01
Zr  0.2925  0.7075  0.0000  6 Os 2.69-2.81
Zr  0.7075  0.2925  0.0000  6 Os 2.69-2.81
Zr  0.2075  0.2075  0.5000  6 Os 2.69-2.81
Zr  0.7925  0.7925  0.5000  6 Os 2.69-2.81

## Properties
* ΔH_f (0 K): 0.31 eV/atom
* magnetic moment: 0.000 μB/atom
* DOS at the Fermi energy: 8.52 states/eV per cell
* symmetry: P4_2/mnm

Entry 12:
Material: Pr2Si3NiIr4
Method: DFT, GGA-PBE
State: optimized geometry

Lattice parameters (Å, degrees): 4.1625 4.1625 10.0798 90.00 90.00 90.00
Closest atoms and distances in Å follow each position.
Sites, in units of the cell vectors:
Ir  0.0000  0.5000  0.3683  3 Si 2.43-2.47, 2 Ni 2.47
Ir  0.5000  0.0000  0.6317  3 Si 2.43-2.47, 2 Ni 2.47
Ir  0.0000  0.0000  0.0000  4 Si 2.45
Ir  0.5000  0.5000  0.0000  4 Si 2.45
Ni  0.5000  0.5000  0.5000  4 Ir 2.47
Pr  0.0000  0.5000  0.7447  8 Ir 3.16-3.31, 6 Si 3.21-3.23, 2 Ni 3.23
Pr  0.5000  0.0000  0.2553  8 Ir 3.16-3.31, 6 Si 3.21-3.23, 2 Ni 3.23
Si  0.0000  0.0000  0.5000  4 Ir 2.47
Si  0.0000  0.5000  0.1277  5 Ir 2.43-2.45
Si  0.5000  0.0000  0.8723  5 Ir 2.43-2.45

## Properties
* magnetic moment: 0.000 μB/atom
* formation energy from raw total energies: -20.31 kcal/mol of atoms
* DOS at the Fermi energy: 5.94 states/eV per cell
* symmetry: P-4m2

V across the listed records, respectively: 146.1, 102.6, 165.2, 66.7, 180.9, 126.6, 249.7, 384.8, 321.0, 200.5, 158.1, 174.6 Å³/cell.